Material: MnZn3Sn
Method: DFT, PBE
State: optimized geometry

## Properties
The raw total energy comes out at -2.839 eV/atom. The density of states at the Fermi level comes out at 3.6 states/eV/f.u. As for the calculated volume: 100.8 Å³ per cell. Its offset from the most stable computed form is 0 meV per atom. The calculation puts the calculated formation energy at 0.56 eV per atom.

Unit cell a=4.654 b=4.654 c=4.654 alpha=90.00 beta=90.00 gamma=90.00
Atoms (fractional coordinates):
Zn (0.000, 0.500, 0.000)
Zn (0.000, 0.000, 0.500)
Zn (0.500, 0.000, 0.000)
Mn (0.000, 0.000, 0.000)
Sn (0.500, 0.500, 0.500)